[1]
The following is a PBE calculation of crystalline CeHoEr2Sc4 at its relaxed geometry, from Alexandria via LeMat-Bulk.

Cell and atoms, written as POSCAR:
```
CeHoEr2Sc4
1.0
5.875 0.000 0.000
0.000 3.392 0.000
-1.979 0.000 10.913
Ce Ho Er Sc
1 1 2 4
Direct
0.000 0.000 0.000
0.000 0.500 0.500
0.500 0.000 0.500
0.500 0.500 0.000
0.244 0.500 0.247
0.247 0.000 0.751
0.753 0.000 0.249
0.756 0.500 0.753
```

## Properties
Uncorrected energy in eV/atom: -5.557
Symmetry: P2/m (10)
DOS at the Fermi energy in states/eV/atom: 1.77
Total magnetization in μB per atom: 0.051



[2]
The following is a PBE calculation of crystalline TaSnSeN2 at its relaxed geometry, from Alexandria via LeMat-Bulk.

Cell and atoms, written as POSCAR:
```
TaSnSeN2
1.0
4.029 0.000 0.000
0.000 4.029 0.000
0.000 0.000 5.246
Ta Sn Se N
1 1 1 2
Direct
0.000 0.000 0.000
0.500 0.500 0.500
0.500 0.500 0.000
0.000 0.500 0.500
0.500 0.000 0.500
```

## Properties
Uncorrected energy in eV/atom: -5.679
Symmetry: P4/mmm (123)
ΔE to the lowest computed polymorph in meV per atom: 1504
DOS at the Fermi energy in states/eV/atom: 0.89
Total magnetization in μB per atom: 0.000
Formation energy without anion corrections in eV/atom: 1.519



[3]
The following is a PBE calculation of crystalline TaTiCu2 at its relaxed geometry, from Alexandria via LeMat-Bulk.

Cell and atoms, written as POSCAR:
```
TaTiCu2
1.0
3.043 0.000 0.000
0.000 3.043 0.000
0.000 0.000 6.388
Ta Ti Cu
1 1 2
Direct
0.000 0.000 0.000
0.000 0.000 0.500
0.500 0.500 0.270
0.500 0.500 0.730
```

## Properties
Uncorrected energy in eV/atom: -6.921
Symmetry: P4/mmm (123)
ΔE to the lowest computed polymorph in meV per atom: 11
DOS at the Fermi energy in states/eV/atom: 1.12
Total magnetization in μB per atom: 0.117



[4]
The following is a PBE calculation of crystalline PaNbRu5 at its relaxed geometry, from Alexandria via LeMat-Bulk.

Cell and atoms, written as POSCAR:
```
PaNbRu5
1.0
4.270 0.000 0.000
0.000 4.270 0.000
0.000 0.000 6.593
Pa Nb Ru
1 1 5
Direct
0.000 0.000 0.000
0.500 0.500 0.500
0.000 0.500 0.280
0.000 0.500 0.720
0.500 0.000 0.280
0.500 0.000 0.720
0.500 0.500 0.000
```

## Properties
Uncorrected energy in eV/atom: -9.350
Symmetry: P4/mmm (123)
DOS at the Fermi energy in states/eV/atom: 0.87
Total magnetization in μB per atom: 0.000



[5]
The following is a PBE calculation of crystalline Ca2InAgO4 at its relaxed geometry, from Alexandria via LeMat-Bulk.

Cell and atoms, written as POSCAR:
```
Ca2InAgO4
1.0
5.672 0.000 0.000
0.000 3.437 0.000
-1.996 0.000 5.692
Ca In Ag O
2 1 1 4
Direct
0.000 0.000 0.000
0.000 0.500 0.500
0.500 0.000 0.500
0.500 0.500 0.000
0.249 0.500 0.265
0.252 0.000 0.709
0.748 0.000 0.291
0.751 0.500 0.735
```

## Properties
Uncorrected energy in eV/atom: -5.558
Symmetry: P2/m (10)
Total magnetization in μB per atom: 0.000
Formation energy without anion corrections in eV/atom: -1.880



[6]
The following is a PBE calculation of crystalline Cd2HgPb3 at its relaxed geometry, from Alexandria via LeMat-Bulk.

Cell and atoms, written as POSCAR:
```
Cd2HgPb3
1.0
7.378 0.000 0.000
0.000 3.573 0.000
-0.699 0.000 12.740
Cd Hg Pb
4 2 6
Direct
0.084 0.250 0.375
0.381 0.750 0.926
0.619 0.250 0.074
0.916 0.750 0.625
0.155 0.250 0.769
0.845 0.750 0.231
0.137 0.250 0.092
0.317 0.750 0.547
0.411 0.750 0.269
0.589 0.250 0.731
0.683 0.250 0.453
0.863 0.750 0.908
```

## Properties
Uncorrected energy in eV/atom: -2.174
Symmetry: P2_1/m (11)
DOS at the Fermi energy in states/eV/atom: 0.45
Total magnetization in μB per atom: 0.000



[7]
The following is a PBE calculation of crystalline RbPtBr at its relaxed geometry, from Alexandria via LeMat-Bulk.

Cell and atoms, written as POSCAR:
```
RbPtBr
1.0
8.155 -2.597 0.000
8.155 2.597 0.000
-0.102 0.000 4.979
Rb Pt Br
2 2 2
Direct
0.000 0.000 0.000
0.741 0.741 0.987
0.371 0.371 0.991
0.410 0.410 0.494
0.258 0.258 0.485
0.559 0.559 0.502
```

## Properties
Uncorrected energy in eV/atom: -3.464
Symmetry: Cm (8)
ΔE to the lowest computed polymorph in meV per atom: 92
DOS at the Fermi energy in states/eV/atom: 0.46
Total magnetization in μB per atom: 0.001
Formation energy without anion corrections in eV/atom: -0.570



[8]
The following is a PBE calculation of crystalline Li5MnAu6 at its relaxed geometry, from Alexandria via LeMat-Bulk.

Cell and atoms, written as POSCAR:
```
Li5MnAu6
1.0
6.928 -3.100 0.000
6.928 3.100 0.000
-1.081 0.000 4.357
Li Mn Au
5 1 6
Direct
0.000 0.000 0.000
0.168 0.168 0.659
0.335 0.335 0.345
0.665 0.665 0.655
0.832 0.832 0.341
0.500 0.500 0.000
0.080 0.586 0.842
0.245 0.755 0.500
0.414 0.920 0.158
0.586 0.080 0.842
0.755 0.245 0.500
0.920 0.414 0.158
```

## Properties
Uncorrected energy in eV/atom: -3.654
Symmetry: C2/m (12)
DOS at the Fermi energy in states/eV/atom: 0.28
Total magnetization in μB per atom: 0.365